This record from Alexandria via LeMat-Bulk describes crystalline Ti3CN at its relaxed geometry. The functional is PBE-GGA.

* raw total energy: -8.32 eV per atom
* polymorph energy (0 for the lowest one): 829 meV/atom

Unit cell a=3.9632 b=3.9632 c=3.9632 alpha=90.00 beta=90.00 gamma=90.00
Space group Pm-3m (No. 221)
Unique sites:
Ti 0.0000 0.0000 0.5000 x3
C 0.5000 0.5000 0.5000 x1
N 0.0000 0.0000 0.0000 x1